No. 1
A PBEsol-optimized structure of BaSrPt4, computed with SCAN.

The value obtained for the electronic total energy is -57.982 eV per atom. For the energy relative to the elements, the calculation gives -0.88 eV per atom.

Cell and atoms, written as extended XYZ:
```
6
Lattice="5.545 0.000 0.000 2.772 4.802 0.000 2.772 1.601 4.527" Properties=species:S:1:pos:R:3 pbc="T T T"
Pt 5.545 4.798 1.699
Pt 4.162 2.403 1.699
Pt 5.545 3.201 3.957
Pt 6.927 2.403 1.699
Ba 0.000 0.000 0.000
Sr 8.317 4.802 3.395
```

***

No. 2
A PBEsol-optimized structure of Ba3SrPt, computed with SCAN.

The value obtained for the electronic total energy is -42.661 eV per atom. For the energy relative to the elements, the calculation gives -0.44 eV per atom.

Cell and atoms, written as extended XYZ:
```
5
Lattice="-4.607 -3.329 2.573 2.871 -5.276 -1.686 3.076 -0.061 5.428" Properties=species:S:1:pos:R:3 pbc="T T T"
Ba 1.436 -2.638 -0.843
Ba -2.303 -1.665 1.287
Ba 1.538 -0.030 2.714
Pt 0.000 0.000 0.000
Sr 0.670 -4.333 3.158
```

***

No. 3
A PBEsol-optimized structure of BaSr2Pt, computed with SCAN.

The value obtained for the electronic total energy is -39.036 eV per atom. The calculation puts the energy relative to the lowest polymorph listed for this composition at 0.095 eV per atom. For the energy relative to the elements, the calculation gives -0.46 eV per atom.

Cell and atoms, written as extended XYZ:
```
4
Lattice="-3.146 -1.525 -1.462 1.849 -3.257 -0.582 -2.807 -3.286 9.466" Properties=species:S:1:pos:R:3 pbc="T T T"
Pt -2.052 -4.034 3.711
Ba -0.648 -2.391 -1.022
Sr -0.947 -1.108 3.193
Sr -1.860 -2.177 6.273
```

***

No. 4
A PBEsol-optimized structure of BaSr2Pt, computed with SCAN.

The value obtained for the electronic total energy is -39.104 eV per atom. The calculation puts the energy relative to the lowest polymorph listed for this composition at 0.027 eV per atom. For the energy relative to the elements, the calculation gives -0.53 eV per atom.

Cell and atoms, written as extended XYZ:
```
4
Lattice="4.341 0.000 0.000 0.000 6.333 -0.095 0.000 -3.061 6.488" Properties=species:S:1:pos:R:3 pbc="T T T"
Pt 2.170 1.636 3.196
Sr 0.000 1.667 5.176
Sr 0.000 1.605 1.216
Ba 2.170 -1.531 3.244
```

***

No. 5
A PBEsol-optimized structure of BaSrPt2, computed with SCAN.

The value obtained for the electronic total energy is -51.412 eV per atom. For the energy relative to the elements, the calculation gives -0.86 eV per atom.

Cell and atoms, written as extended XYZ:
```
4
Lattice="4.321 0.000 0.000 0.000 4.515 0.000 -2.160 0.000 5.596" Properties=species:S:1:pos:R:3 pbc="T T T"
Ba 2.160 2.258 3.024
Pt 0.000 2.258 0.617
Pt 0.000 0.000 2.114
Sr 0.000 0.000 5.436
```

***

No. 6
A PBEsol-optimized structure of BaSr2Pt, computed with SCAN.

The value obtained for the electronic total energy is -39.089 eV per atom. The calculation puts the energy relative to the lowest polymorph listed for this composition at 0.042 eV per atom. For the energy relative to the elements, the calculation gives -0.52 eV per atom.

Cell and atoms, written as extended XYZ:
```
4
Lattice="4.333 0.000 0.000 2.167 3.753 0.000 2.167 1.251 10.494" Properties=species:S:1:pos:R:3 pbc="T T T"
Pt 0.000 0.000 0.000
Ba 4.333 2.502 5.247
Sr 2.167 1.251 1.595
Sr 6.500 3.753 8.899
```

***

No. 7
A PBEsol-optimized structure of Ba2SrPt, computed with SCAN.

The value obtained for the electronic total energy is -43.397 eV per atom. The calculation puts the energy relative to the lowest polymorph listed for this composition at 0.056 eV per atom. For the energy relative to the elements, the calculation gives -0.50 eV per atom.

Cell and atoms, written as extended XYZ:
```
4
Lattice="4.148 0.000 0.000 -2.074 5.684 -0.015 0.000 -3.000 7.233" Properties=species:S:1:pos:R:3 pbc="T T T"
Ba 0.000 -2.733 6.773
Ba 2.074 2.944 2.245
Sr 0.000 0.242 4.530
Pt 0.000 3.415 4.505
```

***

No. 8
A PBEsol-optimized structure of Ba2SrTaPt, computed with SCAN.

The value obtained for the electronic total energy is -47.409 eV per atom. For the energy relative to the elements, the calculation gives 0.22 eV per atom.

Cell and atoms, written as extended XYZ:
```
5
Lattice="5.003 0.000 0.000 0.000 6.215 0.000 0.000 0.000 6.215" Properties=species:S:1:pos:R:3 pbc="T T T"
Sr 2.501 3.107 3.107
Ba 0.000 0.000 3.107
Ba 0.000 3.107 0.000
Ta 2.501 0.000 0.000
Pt 0.000 0.000 0.000
```